VASP calculation (GGA-PBE) on crystalline NpAl2Cd at its relaxed geometry.

Unit cell a=4.5568 b=4.5568 c=4.0899 alpha=90.00 beta=90.00 gamma=90.00
Positions (direct):
Np  0.0000  0.0000  0.0000
Al  0.0000  0.5000  0.5000
Al  0.5000  0.0000  0.5000
Cd  0.5000  0.5000  0.0000

Results
- formation energy from the elements (kJ/mol of atoms) = 9.3
- total energy (eV/atom) = -5.24
- Fermi-level density of states (states/eV per cell) = 7.85